## InOsO2F (meta-GGA SCAN)

Data for a PBEsol-optimized structure of InOsO2F.

The space group is P4/mmm (No. 123) and the conventional cell measures 3.673, 3.673 and 6.915 Å, with angles of 90.00, 90.00 and 90.00 degrees. Symmetry generates all atoms from In at (0.000, 0.000, 0.000), Os at (0.500, 0.500, 0.500), O at (0.000, 0.500, 0.500) and F at (0.500, 0.500, 0.000).

As for the density: 6.34 g/cm3. The crystal system is tetragonal. As for the total moment: 0.0 μB per formula unit. Its total energy is -25.178 eV per atom. For the density of states at the Fermi level, the calculation gives 0.5049 states/eV per atom.